A relaxed structure of Li7Pd12Pt, computed with GGA-PBE.

Size of the total moment in μB/cell: 0.0
SG: R-3
E_form in eV per atom: -0.244
Calculated volume in Å³/f.u.: 314.76

Cell: 6.8026 6.8026 6.8026 Å, 89.50 89.50 89.50°
Last column: nearest neighbours and their distance in Å.
Element x y z (fractional)
Li 0.0000 0.0000 0.0000  6 Pd 2.38
Li 0.1163 0.4686 0.3461  3 Li 2.65-2.97, 6 Pd 2.68-2.96, 1 Pt 2.83
Li 0.3461 0.1163 0.4686  3 Li 2.65-2.97, 6 Pd 2.68-2.96, 1 Pt 2.83
Li 0.4686 0.3461 0.1163  3 Li 2.65-2.97, 6 Pd 2.68-2.96, 1 Pt 2.83
Li 0.5314 0.6539 0.8837  3 Li 2.65-2.97, 6 Pd 2.68-2.96, 1 Pt 2.83
Li 0.6539 0.8837 0.5314  3 Li 2.65-2.97, 6 Pd 2.68-2.96, 1 Pt 2.83
Li 0.8837 0.5314 0.6539  3 Li 2.65-2.97, 6 Pd 2.68-2.96, 1 Pt 2.83
Pd 0.0030 0.1003 0.6641  1 Li 2.38, 2 Pd 2.63-2.66
Pd 0.1003 0.6641 0.0030  1 Li 2.38, 2 Pd 2.63-2.66
Pd 0.2210 0.7494 0.6242  6 Pd 2.66-2.81, 1 Pt 2.67, 4 Li 2.75-2.84
Pd 0.2506 0.3758 0.7790  6 Pd 2.66-2.81, 1 Pt 2.67, 4 Li 2.75-2.84
Pd 0.3359 0.9970 0.8997  1 Li 2.38, 2 Pd 2.63-2.66
Pd 0.3758 0.7790 0.2506  6 Pd 2.66-2.81, 1 Pt 2.67, 4 Li 2.75-2.84
Pd 0.6242 0.2210 0.7494  6 Pd 2.66-2.81, 1 Pt 2.67, 4 Li 2.75-2.84
Pd 0.6641 0.0030 0.1003  1 Li 2.38, 2 Pd 2.63-2.66
Pd 0.7494 0.6242 0.2210  6 Pd 2.66-2.81, 1 Pt 2.67, 4 Li 2.75-2.84
Pd 0.7790 0.2506 0.3758  6 Pd 2.66-2.81, 1 Pt 2.67, 4 Li 2.75-2.84
Pd 0.8997 0.3359 0.9970  1 Li 2.38, 2 Pd 2.63-2.66
Pd 0.9970 0.8997 0.3359  1 Li 2.38, 2 Pd 2.63-2.66
Pt 0.5000 0.5000 0.5000  6 Pd 2.67, 6 Li 2.83